(1)
This record from OQMD via LeMat-Bulk describes a relaxed CdCo15 crystal. The functional is PBE-GGA.

Cell lengths 4.9894, 2.5103, 41.0147 Å; angles 90.00, 90.00, 90.00 degrees
Site moments in Bohr magnetons follow the coordinates.
Sites, in units of the cell vectors:
Co1 0.3755 0.2500 0.8940  1.65
Co2 0.8749 0.2500 0.0637  1.65
Co3 0.1216 0.7500 0.1903  1.65
Co4 0.1255 0.7500 0.1060  1.65
Co5 0.3716 0.2500 0.8097  1.65
Co6 0.1251 0.7500 0.2744  1.63
Co7 0.6250 0.7500 0.6860  1.61
Co8 0.3750 0.2500 0.3140  1.61
Co9 0.6249 0.7500 0.9362  1.66
Co10 0.1250 0.7500 0.8518  1.65
Co11 0.6284 0.7500 0.1903  1.65
Co12 0.3750 0.2500 0.1484  1.65
Co13 0.6251 0.7500 0.0212  1.66
Co14 0.8750 0.2500 0.2326  1.61
Co15 0.6245 0.7500 0.1060  1.65
Co16 0.3749 0.2500 0.9788  1.66
Co17 0.3751 0.2500 0.7256  1.63
Co18 0.6250 0.7500 0.8516  1.64
Co19 0.8750 0.2500 0.1482  1.65
Co20 0.8749 0.2500 0.7256  1.63
Co21 0.6250 0.7500 0.7674  1.67
Co22 0.1249 0.7500 0.0212  1.66
Co23 0.8751 0.2500 0.9788  1.66
Co24 0.3750 0.2500 0.2326  1.67
Co25 0.1250 0.7500 0.7674  1.61
Co26 0.8745 0.2500 0.8940  1.65
Co27 0.6249 0.7500 0.2744  1.63
Co28 0.1251 0.7500 0.9363  1.65
Co29 0.3751 0.2500 0.0638  1.66
Co30 0.8784 0.2500 0.8097  1.65
Cd1 0.1250 0.7500 0.6677  -0.03
Cd2 0.8750 0.2500 0.3323  -0.03

ΔE_f: 12.04 kJ/mol of atoms
Space-group type: P2_1/m, No. 11
Distance to the lowest polymorph of the same formula: 18 meV per atom
Total energy: -6.593 eV per atom

(2)
This record from OQMD via LeMat-Bulk describes a relaxed CdCo124 crystal. The functional is PBE-GGA.

Cell lengths 12.4164, 12.4164, 12.4164 Å; angles 60.00, 60.00, 60.00 degrees
Site moments in Bohr magnetons follow the coordinates.
Sites, in units of the cell vectors:
Co1 0.7913 0.0000 0.2087  1.61
Co2 0.6001 0.7997 0.0001  1.64
Co3 0.9998 0.7993 0.7993  1.63
Co4 0.6001 0.6001 0.7997  1.64
Co5 0.3999 0.3999 0.2003  1.64
Co6 0.6000 0.6000 0.6000  1.64
Co7 0.6001 0.7997 0.6001  1.64
Co8 0.7999 0.6001 0.2001  1.65
Co9 0.4000 0.6000 0.4000  1.65
Co10 0.1993 0.8007 0.1993  1.64
Co11 0.6000 0.4000 0.4000  1.65
Co12 0.4017 0.7993 0.7993  1.63
Co13 0.0000 0.4006 0.0000  1.63
Co14 0.7997 0.6001 0.0001  1.64
Co15 0.2001 0.7999 0.3999  1.65
Co16 0.6000 0.6000 0.4000  1.65
Co17 0.3999 0.2001 0.6001  1.65
Co18 0.2087 0.0000 0.0000  1.61
Co19 0.4017 0.7993 0.9998  1.63
Co20 0.3999 0.7999 0.2001  1.65
Co21 0.7999 0.6001 0.3999  1.65
Co22 0.4000 0.6000 0.6000  1.65
Co23 0.3999 0.9999 0.2003  1.64
Co24 0.6001 0.0001 0.6001  1.64
Co25 0.3999 0.2003 0.3999  1.64
Co26 0.7993 0.9998 0.4017  1.63
Co27 0.3999 0.2001 0.7999  1.65
Co28 0.2087 0.0000 0.7913  1.61
Co29 0.4006 0.0000 0.0000  1.63
Co30 0.0001 0.7997 0.6001  1.64
Co31 0.2007 0.0002 0.5983  1.63
Co32 0.0002 0.2007 0.5983  1.63
Co33 0.6001 0.7999 0.2001  1.65
Co34 0.6003 0.7999 0.7999  1.64
Co35 0.2001 0.7999 0.6001  1.65
Co36 0.7997 0.6001 0.6001  1.64
Co37 0.6001 0.6001 0.0001  1.64
Co38 0.4017 0.9998 0.7993  1.63
Co39 0.4006 0.0000 0.5994  1.63
Co40 0.0000 0.5994 0.4006  1.63
Co41 0.7999 0.6003 0.7999  1.64
Co42 0.3999 0.2003 0.9999  1.64
Co43 0.8001 0.4000 0.4000  1.64
Co44 0.6000 0.4000 0.6000  1.65
Co45 0.8007 0.1993 0.8007  1.64
Co46 0.7999 0.7999 0.7999  1.64
Co47 0.6001 0.3999 0.7999  1.65
Co48 0.2001 0.6001 0.3999  1.65
Co49 0.2001 0.2001 0.3997  1.64
Co50 0.2007 0.0002 0.2007  1.63
Co51 0.4000 0.4000 0.6000  1.65
Co52 0.3997 0.2001 0.2001  1.64
Co53 0.2007 0.2007 0.5983  1.63
Co54 0.5983 0.2007 0.0002  1.63
Co55 0.2007 0.5983 0.0002  1.63
Co56 0.4000 0.4000 0.4000  1.64
Co57 0.6001 0.2001 0.3999  1.65
Co58 0.5994 0.4006 0.0000  1.63
Co59 0.5994 0.0000 0.0000  1.63
Co60 0.0002 0.5983 0.2007  1.63
Co61 0.2001 0.2001 0.2001  1.64
Co62 0.4006 0.5994 0.0000  1.63
Co63 0.6000 0.6000 0.1999  1.64
Co64 0.7993 0.7993 0.4017  1.63
Co65 0.7913 0.2087 0.0000  1.61
Co66 0.7993 0.4017 0.7993  1.63
Co67 0.2007 0.2007 0.0002  1.63
Co68 0.7999 0.2001 0.6001  1.65
Co69 0.3999 0.9999 0.3999  1.64
Co70 0.0000 0.2087 0.7913  1.61
Co71 0.2001 0.6001 0.7999  1.65
Co72 0.9998 0.7993 0.4017  1.63
Co73 0.7999 0.3999 0.2001  1.65
Co74 0.5994 0.0000 0.4006  1.63
Co75 0.0000 0.7913 0.0000  1.61
Co76 0.9999 0.2003 0.3999  1.64
Co77 0.3999 0.3999 0.9999  1.64
Co78 0.0000 0.7913 0.2087  1.61
Co79 0.5983 0.2007 0.2007  1.63
Co80 0.7913 0.0000 0.0000  1.61
Co81 0.7999 0.7999 0.6003  1.64
Co82 0.0000 0.4006 0.5994  1.63
Co83 0.2087 0.7913 0.0000  1.61
Co84 0.0002 0.2007 0.2007  1.63
Co85 0.8007 0.8007 0.1993  1.64
Co86 0.1993 0.1993 0.8007  1.64
Co87 0.6001 0.0001 0.7997  1.64
Co88 0.2003 0.9999 0.3999  1.64
Co89 0.6001 0.3999 0.2001  1.65
Co90 0.6001 0.2001 0.7999  1.65
Co91 0.2001 0.3999 0.7999  1.65
Co92 0.0000 0.5994 0.0000  1.63
Co93 0.0000 0.0000 0.5994  1.63
Co94 0.9998 0.4017 0.7993  1.63
Co95 0.9999 0.3999 0.3999  1.64
Co96 0.1993 0.8007 0.8007  1.64
Co97 0.3999 0.6001 0.2001  1.65
Co98 0.4000 0.4000 0.8001  1.64
Co99 0.7997 0.0001 0.6001  1.64
Co100 0.7999 0.2001 0.3999  1.65
Co101 0.2001 0.3997 0.2001  1.64
Co102 0.7999 0.3999 0.6001  1.65
Co103 0.7993 0.4017 0.9998  1.63
Co104 0.2003 0.3999 0.9999  1.64
Co105 0.2003 0.3999 0.3999  1.64
Co106 0.6001 0.7999 0.3999  1.65
Co107 0.2001 0.3999 0.6001  1.65
Co108 0.4000 0.8001 0.4000  1.64
Co109 0.0001 0.6001 0.6001  1.64
Co110 0.2007 0.5983 0.2007  1.63
Co111 0.0000 0.2087 0.0000  1.61
Co112 0.5983 0.0002 0.2007  1.63
Co113 0.7993 0.9998 0.7993  1.63
Co114 0.1999 0.6000 0.6000  1.64
Co115 0.6000 0.1999 0.6000  1.64
Co116 0.3999 0.6001 0.7999  1.65
Co117 0.0000 0.0000 0.4006  1.63
Co118 0.0000 0.0000 0.7913  1.61
Co119 0.3999 0.7999 0.6001  1.65
Co120 0.7993 0.7993 0.9998  1.63
Co121 0.8007 0.1993 0.1993  1.64
Co122 0.0000 0.0000 0.2087  1.61
Co123 0.9999 0.3999 0.2003  1.64
Co124 0.0001 0.6001 0.7997  1.64
Cd1 0.0000 0.0000 0.0000  -0.05

ΔE_f: 2.77 kJ/mol of atoms
Space-group type: Fm-3m, No. 225
Total energy: -7.028 eV per atom

(3)
This record from OQMD via LeMat-Bulk describes a relaxed Cd2Co3 crystal. The functional is PBE-GGA.

Cell lengths 6.3435, 6.3435, 6.0293 Å; angles 121.74, 58.26, 120.00 degrees
Sites, in units of the cell vectors:
Co1 0.7500 0.0390 0.7500
Co2 0.4610 0.7500 0.2500
Co3 0.5390 0.2500 0.7500
Co4 0.2500 0.9610 0.2500
Co5 0.0390 0.5390 0.2500
Co6 0.9610 0.4610 0.7500
Cd1 0.0921 0.9079 0.7238
Cd2 0.9079 0.0921 0.2762
Cd3 0.4079 0.5921 0.7762
Cd4 0.5921 0.4079 0.2238

ΔE_f: 74.80 kJ/mol of atoms
Space-group type: R-3c, No. 167
Total energy: -3.847 eV per atom

(4)
This record from OQMD via LeMat-Bulk describes a relaxed CdCoCuSn crystal. The functional is PBE-GGA.

Cell lengths 4.4747, 4.4747, 4.4747 Å; angles 60.00, 60.00, 60.00 degrees
Sites, in units of the cell vectors:
Cu1 0.2500 0.2500 0.2500
Co1 0.7500 0.7500 0.7500
Sn1 0.0000 0.0000 0.0000
Cd1 0.5000 0.5000 0.5000

Space-group type: F-43m, No. 216
Distance to the lowest polymorph of the same formula: 0 meV per atom
Total energy: -3.764 eV per atom